1.
# EuInGa2, relaxed, DFT PBE-GGA
data_EuInGa2
_chemical_formula_sum 'Eu1 In1 Ga2'
_cell_length_a 5.112
_cell_length_b 5.112
_cell_length_c 5.112
_cell_angle_alpha 60.00
_cell_angle_beta 60.00
_cell_angle_gamma 60.00
_space_group_name_H-M_alt 'P 1'
_space_group_IT_number 1
loop_
_space_group_symop_operation_xyz
'x,y,z'
loop_
_atom_site_label
_atom_site_type_symbol
_atom_site_fract_x
_atom_site_fract_y
_atom_site_fract_z
Eu1 Eu 0.000 0.000 0.000
In1 In 0.500 0.500 0.500
Ga1 Ga 0.250 0.250 0.250
Ga2 Ga 0.750 0.750 0.750
# Calculated volume ... 94.5 Å³/cell
# Formation enthalpy at 0 K ... -115 kJ/mol of formula units
# Space-group type ... Fm-3m, No. 225

2.
# Eu2InGa, relaxed, DFT PBE-GGA
data_Eu2InGa
_chemical_formula_sum 'Eu2 In1 Ga1'
_cell_length_a 10.204
_cell_length_b 10.204
_cell_length_c 10.204
_cell_angle_alpha 21.33
_cell_angle_beta 21.33
_cell_angle_gamma 21.33
_space_group_name_H-M_alt 'P 1'
_space_group_IT_number 1
loop_
_space_group_symop_operation_xyz
'x,y,z'
loop_
_atom_site_label
_atom_site_type_symbol
_atom_site_fract_x
_atom_site_fract_y
_atom_site_fract_z
Eu1 Eu 0.245 0.245 0.245
Eu2 Eu 0.755 0.755 0.755
In1 In 0.000 0.000 0.000
Ga1 Ga 0.500 0.500 0.500
# Calculated volume ... 123.1 Å³/cell
# Formation enthalpy at 0 K ... -98 kJ/mol of formula units
# Space-group type ... R-3m, No. 166

3.
# EuIn2Ga, relaxed, DFT PBE-GGA
data_EuIn2Ga
_chemical_formula_sum 'Eu1 In2 Ga1'
_cell_length_a 5.310
_cell_length_b 5.310
_cell_length_c 5.310
_cell_angle_alpha 60.00
_cell_angle_beta 60.00
_cell_angle_gamma 60.00
_space_group_name_H-M_alt 'P 1'
_space_group_IT_number 1
loop_
_space_group_symop_operation_xyz
'x,y,z'
loop_
_atom_site_label
_atom_site_type_symbol
_atom_site_fract_x
_atom_site_fract_y
_atom_site_fract_z
Eu1 Eu 0.000 0.000 0.000
In1 In 0.250 0.250 0.250
In2 In 0.750 0.750 0.750
Ga1 Ga 0.500 0.500 0.500
# Calculated volume ... 105.9 Å³/cell
# Formation enthalpy at 0 K ... -76 kJ/mol of formula units
# Space-group type ... Fm-3m, No. 225

4.
# Eu2InGa, relaxed, DFT PBE-GGA
data_Eu2InGa
_chemical_formula_sum 'Eu2 In1 Ga1'
_cell_length_a 3.817
_cell_length_b 3.817
_cell_length_c 7.866
_cell_angle_alpha 90.00
_cell_angle_beta 90.00
_cell_angle_gamma 90.00
_space_group_name_H-M_alt 'P 1'
_space_group_IT_number 1
loop_
_space_group_symop_operation_xyz
'x,y,z'
loop_
_atom_site_label
_atom_site_type_symbol
_atom_site_fract_x
_atom_site_fract_y
_atom_site_fract_z
Eu1 Eu 0.000 0.000 0.232
Eu2 Eu 0.000 0.000 0.768
In1 In 0.500 0.500 0.500
Ga1 Ga 0.500 0.500 0.000
# Calculated volume ... 114.6 Å³/cell
# Formation enthalpy at 0 K ... -177 kJ/mol of formula units
# Space-group type ... P4/mmm, No. 123

5.
# NaEuInGa, relaxed, DFT PBE-GGA
data_NaEuInGa
_chemical_formula_sum 'Na1 Eu1 In1 Ga1'
_cell_length_a 5.303
_cell_length_b 5.303
_cell_length_c 5.303
_cell_angle_alpha 60.00
_cell_angle_beta 60.00
_cell_angle_gamma 60.00
_space_group_name_H-M_alt 'P 1'
_space_group_IT_number 1
loop_
_space_group_symop_operation_xyz
'x,y,z'
loop_
_atom_site_label
_atom_site_type_symbol
_atom_site_fract_x
_atom_site_fract_y
_atom_site_fract_z
Na1 Na 0.000 0.000 0.000
Eu1 Eu 0.500 0.500 0.500
In1 In 0.250 0.250 0.250
Ga1 Ga 0.750 0.750 0.750
# Calculated volume ... 105.5 Å³/cell
# Formation enthalpy at 0 K ... -94 kJ/mol of formula units
# Space-group type ... F-43m, No. 216

6.
# PmEuInGa, relaxed, DFT PBE-GGA
data_PmEuInGa
_chemical_formula_sum 'Pm1 Eu1 In1 Ga1'
_cell_length_a 5.389
_cell_length_b 5.389
_cell_length_c 5.389
_cell_angle_alpha 60.00
_cell_angle_beta 60.00
_cell_angle_gamma 60.00
_space_group_name_H-M_alt 'P 1'
_space_group_IT_number 1
loop_
_space_group_symop_operation_xyz
'x,y,z'
loop_
_atom_site_label
_atom_site_type_symbol
_atom_site_fract_x
_atom_site_fract_y
_atom_site_fract_z
Pm1 Pm 0.000 0.000 0.000
Eu1 Eu 0.500 0.500 0.500
In1 In 0.250 0.250 0.250
Ga1 Ga 0.750 0.750 0.750
# Calculated volume ... 110.7 Å³/cell
# Formation enthalpy at 0 K ... -174 kJ/mol of formula units
# Space-group type ... F-43m, No. 216

Which of these has the lowest calculated volume? EuInGa2

Which value of calculated volume does entry 1 give? 94.5 Å³/cell

Copy entry 6 word for word.
# PmEuInGa, relaxed, DFT PBE-GGA
data_PmEuInGa
_chemical_formula_sum 'Pm1 Eu1 In1 Ga1'
_cell_length_a 5.389
_cell_length_b 5.389
_cell_length_c 5.389
_cell_angle_alpha 60.00
_cell_angle_beta 60.00
_cell_angle_gamma 60.00
_space_group_name_H-M_alt 'P 1'
_space_group_IT_number 1
loop_
_space_group_symop_operation_xyz
'x,y,z'
loop_
_atom_site_label
_atom_site_type_symbol
_atom_site_fract_x
_atom_site_fract_y
_atom_site_fract_z
Pm1 Pm 0.000 0.000 0.000
Eu1 Eu 0.500 0.500 0.500
In1 In 0.250 0.250 0.250
Ga1 Ga 0.750 0.750 0.750
# Calculated volume ... 110.7 Å³/cell
# Formation enthalpy at 0 K ... -174 kJ/mol of formula units
# Space-group type ... F-43m, No. 216

Which of these has the highest formation enthalpy at 0 K? EuIn2Ga